A plane-wave DFT calculation with GGA+U was carried out for LiFe3O4 after structural relaxation.

```
16
Lattice="4.181 4.345 -0.004 -4.181 4.345 -0.004 0.000 4.275 4.358" Properties=species:S:1:pos:R:3 pbc="T T T"
Fe -2.090 4.310 2.177
Fe 2.090 2.172 -0.002
Fe 0.000 6.482 2.175
Fe 0.000 2.137 2.179
Fe 0.000 0.000 0.000
Fe 0.000 4.345 -0.004
O 0.052 4.407 2.084
O -2.077 6.408 2.186
O -0.052 8.557 2.265
O 2.077 4.270 0.006
O -0.052 6.545 4.264
O 0.052 6.419 0.086
O -2.077 8.694 4.343
O 2.077 6.557 2.164
Li -2.090 2.172 -0.002
Li 2.090 4.310 2.177
```

=====

A plane-wave DFT calculation with GGA+U was carried out for Li5Fe11O16 after structural relaxation.

Output
Excess energy over the best structure of this formula in the dataset: 0.000 kcal/mol of atoms

```
64
Lattice="-10.331 3.980 4.962 -2.961 -1.177 -5.221 -4.670 -9.034 -2.478" Properties=species:S:1:pos:R:3 pbc="T T T"
O -4.300 -4.216 -1.862
O -12.030 -4.072 0.421
O -5.686 -7.665 -5.649
O -9.427 -2.243 0.613
O -6.868 -6.042 -2.021
O -13.442 -4.702 -1.949
O -5.811 -4.918 -4.484
O -12.277 1.434 2.912
O -4.307 -7.135 -3.217
O -4.521 -1.530 -0.788
O -9.217 -7.738 -1.861
O -10.989 -2.948 -2.139
O -11.878 -6.836 -0.745
O -8.746 1.507 -0.876
O -13.656 0.904 0.480
O -9.727 0.457 1.675
O -7.118 -0.635 0.494
O -10.844 -5.596 -3.231
O -8.487 -1.170 -1.942
O -8.535 -3.988 -3.350
O -5.933 -2.159 -3.158
O -3.549 -0.493 -3.384
O -6.085 0.604 -1.992
O -14.414 -5.739 0.647
O -11.352 2.608 0.396
O -13.663 -2.016 -0.875
O -8.236 -6.689 -4.413
O -6.611 -8.839 -3.133
O -11.094 -0.189 -0.716
O -6.974 -3.283 -0.598
O -9.476 -5.062 -0.795
O -12.152 -1.313 1.747
Fe -10.303 -6.532 -5.205
Fe 0.000 0.000 0.000
Fe -7.660 0.301 2.468
Fe -7.501 -2.527 1.242
Fe -12.496 -3.253 2.430
Fe -7.855 -4.700 -5.207
Fe -3.965 -2.376 -2.601
Fe -10.108 -1.531 2.470
Fe -8.855 -5.909 -2.613
Fe -11.503 -4.947 -1.349
Fe -13.998 -3.856 -0.136
Fe -2.335 -4.517 -1.239
Fe -11.686 0.540 1.100
Fe -6.277 -6.772 -3.837
Fe -5.166 1.990 2.481
Fe -6.460 -1.285 -1.389
Fe -8.981 -3.116 -1.369
Fe -9.108 -0.323 -0.124
Fe -5.467 -2.979 -5.167
Fe -5.547 -0.173 -3.955
Fe -1.481 -0.588 -2.611
Fe -12.416 -6.059 1.217
Li -11.636 -2.110 -0.156
Li -5.021 -0.717 1.199
Li -4.082 0.431 -1.299
Li -3.816 -5.106 -3.850
Li -12.942 -5.515 -3.936
Li -6.646 1.401 -0.129
Li -13.881 -6.662 -1.438
Li -6.327 -4.121 -2.581
Li -4.805 -6.216 -1.265
Li -13.158 -0.015 -1.472
```

=====

A plane-wave DFT calculation with GGA+U was carried out for LiFe3O after structural relaxation.

Output
Excess energy over the best structure of this formula in the dataset: 0.000 kcal/mol of atoms

```
5
Lattice="4.086 0.000 0.000 0.000 4.086 0.000 0.000 0.000 4.086" Properties=species:S:1:pos:R:3 pbc="T T T"
Fe 2.043 0.000 0.000
Fe 0.000 0.000 2.043
Fe 0.000 2.043 0.000
O 0.000 0.000 0.000
Li 2.043 2.043 2.043
```

=====

A plane-wave DFT calculation with GGA+U was carried out for Li3Fe5O9 after structural relaxation.

```
34
Lattice="8.752 -0.008 0.000 -1.414 8.637 0.000 -0.052 0.044 5.336" Properties=species:S:1:pos:R:3 pbc="T T T"
O 4.186 5.002 4.002
O -1.065 7.502 0.391
O 3.630 7.044 1.833
O 8.351 1.171 4.944
O 6.962 6.222 3.379
O 4.945 7.937 4.624
O 2.341 0.736 0.711
O -0.264 8.496 3.059
O 7.550 0.177 2.276
O 6.652 3.138 3.554
O 3.100 3.672 1.334
O 0.943 3.937 4.501
O 5.336 1.538 0.886
O 6.343 4.737 0.835
O 1.950 7.135 4.450
O 0.324 2.451 1.956
O 0.635 5.536 1.782
O 3.656 1.629 3.503
Li 5.533 1.643 4.245
Li 1.753 7.030 1.090
Li 2.941 3.537 4.002
Li 6.631 2.882 1.578
Li 4.345 5.136 1.334
Li 0.655 5.791 3.758
Fe 6.822 8.102 4.002
Fe 1.237 3.887 1.070
Fe 6.049 4.786 4.266
Fe 0.464 0.572 1.334
Fe 2.561 0.233 4.220
Fe 3.612 1.868 1.598
Fe 3.674 6.806 3.738
Fe 4.725 8.441 1.116
Fe -0.260 2.631 3.784
Fe 7.546 6.042 1.552
```

=====

A plane-wave DFT calculation with GGA+U was carried out for LiFeO3 after structural relaxation.

```
10
Lattice="1.442 6.459 -0.036 -1.442 6.459 -0.036 0.000 1.373 5.786" Properties=species:S:1:pos:R:3 pbc="T T T"
Fe 0.000 3.073 3.915
Fe 0.000 11.217 1.798
Li 0.000 6.459 -0.036
Li 0.000 7.145 2.857
O 0.000 4.406 0.701
O 0.000 4.945 3.141
O 0.000 9.885 5.012
O 0.000 12.939 1.456
O 0.000 9.345 2.572
O 0.000 1.351 4.257
```

=====

A plane-wave DFT calculation with GGA+U was carried out for LiFeO2 after structural relaxation.

```
16
Lattice="-0.850 -3.058 -4.857 1.711 -4.839 2.707 -4.311 3.183 2.209" Properties=species:S:1:pos:R:3 pbc="T T T"
Li -0.425 -1.529 -2.429
Li -1.300 -0.828 2.458
Li 0.430 -3.948 -1.075
Li -1.725 -2.357 0.029
O -1.899 -0.281 0.500
O 1.036 -4.367 0.918
O -4.010 1.280 1.737
O -4.486 -0.347 -0.859
O 0.560 -5.994 -1.678
O -1.551 -4.433 -0.441
O -1.002 -2.863 1.962
O -2.449 -1.851 -1.903
Fe -2.156 1.592 1.105
Fe -2.581 0.062 -1.324
Fe 0.000 0.000 0.000
Fe 0.855 -2.419 1.353
```

=====

A plane-wave DFT calculation with GGA+U was carried out for Li5FeO4 after structural relaxation.

Output
Excess energy over the best structure of this formula in the dataset: 1.648 kcal/mol of atoms

```
80
Lattice="-4.678 2.142 -0.123 -4.055 -8.900 -0.807 -0.913 -1.059 16.267" Properties=species:S:1:pos:R:3 pbc="T T T"
O -2.582 -2.897 1.722
O -5.775 -2.716 15.564
O -5.050 -8.442 1.671
O -5.963 -8.763 9.793
O -3.200 -4.198 5.236
O -6.446 -3.617 10.101
O -7.382 -6.678 7.667
O -7.132 -6.053 -0.472
O -3.871 -5.100 -0.227
O -5.533 -3.297 1.979
O -3.799 -5.513 2.834
O -3.683 0.947 5.544
O -5.847 -2.303 12.503
O -4.612 -5.879 10.958
O -1.849 -1.152 4.609
O -4.120 -5.724 7.912
O -5.526 -2.091 7.425
O -7.797 -6.663 10.728
O -6.268 -4.545 5.491
O -4.808 -0.205 9.966
O -5.033 -1.937 4.379
O -6.984 -6.297 2.604
O -2.513 -1.762 15.809
O -4.113 -4.519 13.358
O -7.063 -4.919 13.615
O -5.633 -7.984 13.496
O -4.596 0.627 13.666
O -4.837 -7.610 5.371
O -2.662 -1.518 12.733
O -3.378 -3.271 9.846
O -2.264 -1.138 7.670
O -4.013 0.169 1.841
Li -5.132 -0.168 5.105
Li -3.485 -6.236 4.676
Li -2.739 0.441 3.579
Li -2.182 -2.980 8.210
Li -5.518 -6.770 7.110
Li -5.171 -6.609 2.069
Li -4.128 -1.046 8.227
Li -6.357 -5.488 10.269
Li -7.013 -4.449 2.106
Li -4.836 -3.756 11.382
Li -2.168 0.247 1.047
Li -7.478 -8.062 14.290
Li -6.574 -5.982 15.295
Li -2.066 -4.287 3.310
Li -6.360 -6.341 4.508
Li -7.580 -3.529 12.027
Li -1.326 -1.634 2.735
Li -2.632 -3.367 13.231
Li -1.241 -0.916 9.217
Li -4.514 -7.648 10.232
Li -8.319 -6.181 12.602
Li -6.907 -8.257 11.758
Li -4.810 -4.059 3.955
Li -6.160 -1.579 10.661
Li -3.071 -1.834 0.042
Li -3.286 -1.475 10.829
Li -7.464 -4.836 7.127
Li -6.050 -2.069 0.678
Li -4.523 -4.583 6.489
Li -4.475 -1.207 13.268
Li -3.289 -2.328 5.068
Li -8.405 -6.899 6.120
Li -4.137 -8.787 3.685
Li -4.201 -1.738 2.567
Li -3.596 -5.746 14.659
Li -5.123 -3.232 8.848
Li -5.445 -6.077 12.770
Li -4.628 -7.916 15.279
Li -5.509 0.971 11.652
Li -5.017 0.100 0.058
Fe -7.446 -7.766 9.195
Fe -7.980 -6.783 1.035
Fe -6.195 -2.613 5.751
Fe -3.985 -4.219 1.426
Fe -3.451 -5.202 9.586
Fe -1.665 -1.033 14.302
Fe -5.660 -3.597 13.911
Fe -2.200 -0.050 6.142
```

=====

A plane-wave DFT calculation with GGA+U was carried out for Li3FeO3 after structural relaxation.

Output
Excess energy over the best structure of this formula in the dataset: 1.582 kcal/mol of atoms

```
14
Lattice="2.781 0.000 0.517 1.413 5.095 0.138 -0.350 -1.088 9.621" Properties=species:S:1:pos:R:3 pbc="T T T"
Li 2.505 2.407 9.744
Li 2.417 0.061 2.480
Li 3.188 3.843 6.072
Li 0.657 0.164 4.204
Li 1.428 3.946 7.796
Li 1.340 1.600 0.532
O 1.232 3.531 1.114
O 2.613 0.476 9.162
O 0.304 0.135 6.102
O 2.879 2.685 7.731
O 3.541 3.872 4.174
O 0.965 1.322 2.546
Fe 2.354 2.867 2.818
Fe 1.491 1.140 7.458
```

=====

A plane-wave DFT calculation with GGA+U was carried out for Li8FeO6 after structural relaxation.

Output
Excess energy over the best structure of this formula in the dataset: 0.000 kcal/mol of atoms

```
30
Lattice="-4.351 -1.341 3.231 0.639 -2.441 -4.980 5.890 -7.927 4.641" Properties=species:S:1:pos:R:3 pbc="T T T"
Li 5.396 -7.881 2.112
Li -1.757 -5.792 1.930
Li 4.747 -7.484 -0.052
Li 2.884 -9.233 2.989
Li 2.460 -6.764 0.502
Li 3.160 -6.962 2.852
Li 1.296 -6.723 5.627
Li -1.205 -4.445 -0.137
Li 0.190 -6.221 -1.274
Li 0.660 -4.684 -2.911
Li 0.797 -6.397 3.240
Li 3.449 -7.452 5.316
Li -0.484 -2.800 -1.818
Li 0.754 -4.439 1.053
Li -2.148 -2.433 0.920
Li -2.791 -3.924 2.768
O -3.844 -2.522 1.887
O -1.013 -3.958 1.813
O 0.650 -4.324 -0.924
O 1.930 -7.924 4.132
O -1.768 -6.394 -0.218
O 3.682 -6.036 -0.839
O -0.441 -3.273 -3.714
O 4.886 -6.578 3.850
O -2.230 -2.986 -0.955
O 0.279 -5.285 4.762
O 2.067 -5.572 2.002
O 3.593 -8.290 1.395
Fe 0.034 -0.046 0.027
Fe -0.732 -7.791 0.599
```

=====

A plane-wave DFT calculation with GGA+U was carried out for LiFeO3 after structural relaxation.

```
20
Lattice="-1.533 -2.034 4.190 4.595 -1.724 0.845 1.824 6.808 3.973" Properties=species:S:1:pos:R:3 pbc="T T T"
Li 1.845 4.013 5.493
Li 2.421 4.320 2.984
Li 3.997 0.764 1.834
Li 3.040 -0.963 3.514
O 1.540 -2.064 4.180
O 5.135 3.040 4.790
O 2.564 2.603 3.951
O -0.250 0.010 4.217
O 2.959 2.552 6.626
O 0.323 2.424 5.285
O 2.321 0.447 5.056
O 1.926 0.498 2.381
O 0.768 4.490 7.079
O 4.117 -1.440 1.928
O 3.345 5.114 4.827
O 4.562 0.625 3.722
Fe 3.765 1.743 5.094
Fe 1.323 0.218 0.590
Fe 1.120 1.307 3.914
Fe 5.096 4.866 4.227
```

=====

A plane-wave DFT calculation with GGA+U was carried out for LiFeO2 after structural relaxation.

```
16
Lattice="3.560 -1.473 4.433 3.000 4.975 -0.866 -5.799 0.224 0.909" Properties=species:S:1:pos:R:3 pbc="T T T"
Fe 3.280 1.751 1.784
Fe -2.899 0.112 0.455
Fe 0.000 0.000 0.000
Fe 1.500 2.487 -0.433
O 3.491 0.177 3.147
O 0.333 3.526 0.694
O -1.330 0.950 1.308
O 0.429 0.200 3.782
O -0.827 2.879 3.462
O 2.092 2.776 3.168
O 3.070 3.325 0.420
O 1.589 0.847 1.014
Li 0.381 1.863 2.238
Li 1.780 -0.737 2.217
Li -1.119 -0.625 2.671
Li -1.399 2.599 0.022
```

=====

A plane-wave DFT calculation with GGA+U was carried out for LiFeO after structural relaxation.

```
6
Lattice="4.810 0.071 -0.014 0.030 3.011 -0.214 2.368 1.248 4.853" Properties=species:S:1:pos:R:3 pbc="T T T"
O 4.695 2.782 3.855
O 2.229 0.986 1.859
Fe 3.714 1.145 0.419
Fe 1.293 2.578 0.432
Li 5.421 1.174 2.977
Li 3.071 2.580 2.731
```

=====

Number 1: total DFT energy (no corrections) -101.6 eV/cell. Number 2: total DFT energy (no corrections) -403.1 eV/cell. Number 3: total DFT energy (no corrections) -21.6 eV/cell. Number 4: total DFT energy (no corrections) -207.5 eV/cell. Number 5: total DFT energy (no corrections) -55.6 eV/cell. Number 6: total DFT energy (no corrections) -91.1 eV/cell. Number 7: total DFT energy (no corrections) -419.9 eV/cell. Number 8: total DFT energy (no corrections) -76.0 eV/cell. Number 9: total DFT energy (no corrections) -153.2 eV/cell. Number 10: total DFT energy (no corrections) -111.8 eV/cell. Number 11: total DFT energy (no corrections) -95.2 eV/cell. Number 12: total DFT energy (no corrections) -31.2 eV/cell.